A geometry-optimized CdSi2 structure, computed with PBE.

The structure in POSCAR format:
```
CdSi2
1.0
-1.545 1.545 5.613
1.545 -1.545 5.613
1.545 1.545 -5.613
Si Cd
2 1
Direct
0.312 0.312 0.000
0.688 0.688 0.000
0.000 0.000 0.000
```

Values from the calculation:
* energy: -3.448 eV/atom
* E above lowest polymorph: 0 meV/atom
* volume: 17.87 A^3/atom

***

A geometry-optimized Cd3Si2 structure, computed with PBE.

The structure in POSCAR format:
```
Cd3Si2
1.0
-5.734 1.600 3.747
-3.469 -5.310 -3.041
1.278 -2.589 3.061
Si Cd
4 6
Direct
0.118 0.382 0.000
0.882 0.618 0.000
0.618 0.118 0.000
0.382 0.882 0.000
0.000 0.000 0.000
0.811 0.311 0.500
0.311 0.189 0.500
0.500 0.500 0.000
0.689 0.811 0.500
0.189 0.689 0.500
```

Values from the calculation:
* energy: -2.402 eV/atom
* volume: 20.82 A^3/atom

***

A geometry-optimized Cd2Si structure, computed with PBE.

The structure in POSCAR format:
```
Cd2Si
1.0
6.062 0.000 0.000
0.000 4.406 0.000
0.000 0.000 9.068
Cd Si
8 4
Direct
0.101 0.250 0.095
0.660 0.250 0.738
0.399 0.750 0.595
0.340 0.750 0.262
0.601 0.250 0.405
0.899 0.750 0.905
0.840 0.750 0.238
0.160 0.250 0.762
0.579 0.250 0.060
0.079 0.250 0.440
0.921 0.750 0.560
0.421 0.750 0.940
```

Values from the calculation:
* energy: -2.084 eV/atom
* volume: 20.18 A^3/atom

***

A geometry-optimized Tb2SmCd4Si4 structure, computed with PBE.

The structure in POSCAR format:
```
Tb2SmCd4Si4
1.0
4.706 0.686 12.758
0.274 -3.290 13.209
-0.469 -0.812 -13.583
Cd Si Sm Tb
4 4 1 2
Direct
0.908 0.408 0.500
0.749 0.749 0.000
0.251 0.251 0.000
0.092 0.592 0.500
0.456 0.456 0.000
0.185 0.685 0.500
0.544 0.544 0.000
0.815 0.315 0.500
0.000 0.000 0.000
0.642 0.142 0.500
0.358 0.858 0.500
```

Values from the calculation:
* energy: -3.887 eV/atom
* volume: 21.51 A^3/atom

***

A geometry-optimized CdSiSn structure, computed with PBE.

The structure in POSCAR format:
```
CdSiSn
1.0
-3.637 -2.415 1.832
-4.195 0.011 -2.195
-1.559 -3.921 -2.147
Sn Si Cd
1 1 1
Direct
0.750 0.750 0.750
0.000 0.000 0.000
0.250 0.250 0.250
```

Values from the calculation:
* energy: -3.169 eV/atom
* E above lowest polymorph: 0 meV/atom
* volume: 25.01 A^3/atom

***

A geometry-optimized Sr2CdSi2 structure, computed with PBE.

The structure in POSCAR format:
```
Sr2CdSi2
1.0
-4.679 -0.040 2.607
-0.499 -5.243 -0.977
5.243 1.504 3.931
Cd Sr Si
1 2 2
Direct
0.000 0.000 0.000
0.750 0.250 0.500
0.250 0.750 0.500
0.599 0.599 0.198
0.401 0.401 0.802
```

Values from the calculation:
* energy: -2.991 eV/atom
* volume: 31.87 A^3/atom

***

A geometry-optimized SrCd2Si2 structure, computed with PBE.

The structure in POSCAR format:
```
SrCd2Si2
1.0
4.400 0.000 0.000
-2.200 3.811 0.000
0.000 0.000 7.514
Cd Sr Si
2 1 2
Direct
0.667 0.333 0.371
0.333 0.667 0.629
0.000 0.000 0.000
0.667 0.333 0.739
0.333 0.667 0.261
```

Values from the calculation:
* energy: -2.872 eV/atom
* volume: 25.20 A^3/atom

***

A geometry-optimized SrCdSi2 structure, computed with PBE.

The structure in POSCAR format:
```
SrCdSi2
1.0
2.279 1.447 4.288
-2.574 -0.007 4.364
1.082 -3.424 3.574
Si Cd Sr
2 1 1
Direct
0.500 0.500 0.500
0.250 0.250 0.250
0.000 0.000 0.000
0.750 0.750 0.750
```

Values from the calculation:
* energy: -3.109 eV/atom
* volume: 23.00 A^3/atom